The following is a DFT calculation (GGA-PBEsol) of a relaxed structure of Sr2MnW.

The calculation puts the relative energy among the computed polymorphs at 0.748 eV per atom. The value obtained for the total energy is -5.3970 eV per atom.

Structure (extended XYZ):
```
4
Lattice="4.3412 0.0000 0.0000 0.0000 4.3412 0.0000 0.0000 0.0000 4.9860" Properties=species:S:1:pos:R:3 pbc="T T T"
Sr 0.0000 2.1706 0.0000
Sr 2.1706 0.0000 0.0000
Mn 0.0000 0.0000 2.4930
W 2.1706 2.1706 2.4930
```



The following is a DFT calculation (GGA-PBEsol) of a relaxed structure of Sr2MnW.

The calculation puts the relative energy among the computed polymorphs at 0.133 eV per atom. The value obtained for the total energy is -6.0120 eV per atom.

Structure (extended XYZ):
```
4
Lattice="-1.6437 1.8153 9.0564 1.6437 -1.8153 9.0564 1.6437 1.8153 -9.0564" Properties=species:S:1:pos:R:3 pbc="T T T"
Sr 0.0000 0.0000 2.6997
Sr 0.0000 0.0000 15.4131
Mn 1.6437 0.0000 0.0000
W 0.0000 1.8153 0.0000
```



The following is a DFT calculation (GGA-PBEsol) of a relaxed structure of SrMn2W.

The calculation puts the relative energy among the computed polymorphs at 0.002 eV per atom. The value obtained for the total energy is -8.0135 eV per atom.

Structure (extended XYZ):
```
4
Lattice="3.0407 0.0000 0.0000 0.0000 3.0407 0.0000 0.0000 0.0000 7.8254" Properties=species:S:1:pos:R:3 pbc="T T T"
Sr 0.0000 0.0000 0.0000
Mn 0.0000 0.0000 3.7783
Mn 1.5204 1.5204 5.2446
W 1.5204 1.5204 2.5611
```



The following is a DFT calculation (GGA-PBEsol) of a relaxed structure of Sr2MnW.

The calculation puts the relative energy among the computed polymorphs at 0.750 eV per atom. The value obtained for the total energy is -5.3951 eV per atom.

Structure (extended XYZ):
```
4
Lattice="-2.2020 2.2020 4.9656 2.2020 -2.2020 4.9656 2.2020 2.2020 -4.9656" Properties=species:S:1:pos:R:3 pbc="T T T"
Sr 2.2020 0.0000 2.4828
Sr 0.0000 2.2020 2.4828
Mn 0.0000 0.0000 0.0000
W 0.0000 0.0000 4.9656
```



The following is a DFT calculation (GGA-PBEsol) of a relaxed structure of SrMn2W.

The calculation puts the relative energy among the computed polymorphs at 0.272 eV per atom. The value obtained for the total energy is -7.7434 eV per atom.

Structure (extended XYZ):
```
4
Lattice="-1.3639 2.4101 4.9479 1.3639 -2.4101 4.9479 1.3639 2.4101 -4.9479" Properties=species:S:1:pos:R:3 pbc="T T T"
Sr 0.0000 0.0000 0.0000
Mn 1.3639 0.0000 2.7556
Mn 0.0000 0.0000 4.5825
W 0.0000 2.4101 2.0218
```



The following is a DFT calculation (GGA-PBEsol) of a relaxed structure of SrYMn2.

The calculation puts the relative energy among the computed polymorphs at 0.017 eV per atom. The value obtained for the total energy is -6.4748 eV per atom.

Structure (extended XYZ):
```
4
Lattice="3.4642 0.0000 0.0000 0.0000 3.4642 0.0000 0.0000 0.0000 8.2768" Properties=species:S:1:pos:R:3 pbc="T T T"
Sr 0.0000 0.0000 0.0000
Y 1.7321 1.7321 3.1819
Mn 0.0000 0.0000 4.9104
Mn 1.7321 1.7321 6.0345
```



The following is a DFT calculation (GGA-PBEsol) of a relaxed structure of Sr2YMn.

The calculation puts the relative energy among the computed polymorphs at 0.000 eV per atom. The value obtained for the total energy is -4.5268 eV per atom.

Structure (extended XYZ):
```
4
Lattice="-1.9127 2.7651 6.1185 1.9127 -2.7651 6.1185 1.9127 2.7651 -6.1185" Properties=species:S:1:pos:R:3 pbc="T T T"
Sr 0.0000 0.0000 2.4762
Sr 0.0000 0.0000 9.7608
Y 0.0000 2.7651 0.0000
Mn 1.9127 0.0000 0.0000
```



The following is a DFT calculation (GGA-PBEsol) of a relaxed structure of SrYMn2.

The calculation puts the relative energy among the computed polymorphs at 0.000 eV per atom. The value obtained for the total energy is -6.4922 eV per atom.

Structure (extended XYZ):
```
4
Lattice="3.6827 0.0000 0.0000 0.0000 3.6827 0.0000 0.0000 0.0000 7.2461" Properties=species:S:1:pos:R:3 pbc="T T T"
Sr 0.0000 0.0000 0.0000
Y 0.0000 0.0000 3.6230
Mn 1.8414 1.8414 2.2550
Mn 1.8414 1.8414 4.9911
```



The following is a DFT calculation (GGA-PBEsol) of a relaxed structure of Sr2YMn.

The calculation puts the relative energy among the computed polymorphs at 0.008 eV per atom. The value obtained for the total energy is -4.5193 eV per atom.

Structure (extended XYZ):
```
4
Lattice="3.7980 0.0000 0.0000 0.0000 3.7980 0.0000 0.0000 0.0000 9.2164" Properties=species:S:1:pos:R:3 pbc="T T T"
Sr 0.0000 0.0000 1.8892
Sr 0.0000 0.0000 7.3272
Y 1.8990 1.8990 4.6082
Mn 1.8990 1.8990 0.0000
```



The following is a DFT calculation (GGA-PBEsol) of a relaxed structure of SrY2Mn.

The calculation puts the relative energy among the computed polymorphs at 0.123 eV per atom. The value obtained for the total energy is -5.9408 eV per atom.

Structure (extended XYZ):
```
4
Lattice="-1.8041 2.8517 5.7114 1.8041 -2.8517 5.7114 1.8041 2.8517 -5.7114" Properties=species:S:1:pos:R:3 pbc="T T T"
Sr 0.0000 0.0000 0.0000
Y 1.8041 0.0000 3.3822
Y 0.0000 2.8517 2.3292
Mn 0.0000 0.0000 5.7114
```



The following is a DFT calculation (GGA-PBEsol) of a relaxed structure of SrYMn2.

The calculation puts the relative energy among the computed polymorphs at 0.079 eV per atom. The value obtained for the total energy is -6.4132 eV per atom.

Structure (extended XYZ):
```
4
Lattice="5.5806 -1.6550 0.0000 5.5806 1.6550 0.0000 -1.6508 0.0000 5.1081" Properties=species:S:1:pos:R:3 pbc="T T T"
Sr 0.0000 0.0000 0.0000
Y 1.2066 0.0000 3.2098
Mn 4.1832 0.0000 2.3639
Mn 8.2012 0.0000 1.0112
```



The following is a DFT calculation (GGA-PBEsol) of a relaxed structure of SrYMn2.

The calculation puts the relative energy among the computed polymorphs at 0.098 eV per atom. The value obtained for the total energy is -6.3943 eV per atom.

Structure (extended XYZ):
```
4
Lattice="0.0000 3.6144 3.6144 3.6144 0.0000 3.6144 3.6144 3.6144 0.0000" Properties=species:S:1:pos:R:3 pbc="T T T"
Sr 0.0000 0.0000 0.0000
Y 3.6144 3.6144 3.6144
Mn 1.8072 1.8072 1.8072
Mn 5.4216 5.4216 5.4216
```



The following is a DFT calculation (GGA-PBEsol) of a relaxed structure of Sr2YMn.

The calculation puts the relative energy among the computed polymorphs at 0.055 eV per atom. The value obtained for the total energy is -4.4715 eV per atom.

Structure (extended XYZ):
```
4
Lattice="0.0000 4.0024 4.0024 4.0024 0.0000 4.0024 4.0024 4.0024 0.0000" Properties=species:S:1:pos:R:3 pbc="T T T"
Sr 0.0000 0.0000 0.0000
Sr 2.0012 2.0012 2.0012
Y 6.0036 6.0036 6.0036
Mn 4.0024 4.0024 4.0024
```



The following is a DFT calculation (GGA-PBEsol) of a relaxed structure of Sr2YMn.

The calculation puts the relative energy among the computed polymorphs at 0.122 eV per atom. The value obtained for the total energy is -4.4046 eV per atom.

Structure (extended XYZ):
```
4
Lattice="0.0000 4.0509 4.0509 4.0509 0.0000 4.0509 4.0509 4.0509 0.0000" Properties=species:S:1:pos:R:3 pbc="T T T"
Sr 2.0254 2.0254 2.0254
Sr 6.0763 6.0763 6.0763
Y 0.0000 0.0000 0.0000
Mn 4.0509 4.0509 4.0509
```



The following is a DFT calculation (GGA-PBEsol) of a relaxed structure of SrY2Mn.

The calculation puts the relative energy among the computed polymorphs at 0.000 eV per atom. The value obtained for the total energy is -6.0634 eV per atom.

Structure (extended XYZ):
```
4
Lattice="3.5023 0.0000 0.0000 0.0000 3.5023 0.0000 0.0000 0.0000 9.5430" Properties=species:S:1:pos:R:3 pbc="T T T"
Sr 0.0000 0.0000 0.0000
Y 1.7512 1.7512 3.1269
Y 1.7512 1.7512 6.4161
Mn 0.0000 0.0000 4.7715
```



The following is a DFT calculation (GGA-PBEsol) of a relaxed structure of SrY2Mn.

The calculation puts the relative energy among the computed polymorphs at 0.274 eV per atom. The value obtained for the total energy is -5.7893 eV per atom.

Structure (extended XYZ):
```
4
Lattice="4.7797 0.0000 0.0000 0.0000 4.7797 0.0000 0.0000 0.0000 5.0292" Properties=species:S:1:pos:R:3 pbc="T T T"
Sr 0.0000 0.0000 0.0000
Y 0.0000 2.3898 2.5146
Y 2.3898 0.0000 2.5146
Mn 2.3898 2.3898 0.0000
```



The following is a DFT calculation (GGA-PBEsol) of a relaxed structure of SrMn2Zn.

The value obtained for the total energy is -5.0092 eV per atom.

Structure (extended XYZ):
```
4
Lattice="0.0000 3.4261 3.4261 3.4261 0.0000 3.4261 3.4261 3.4261 0.0000" Properties=species:S:1:pos:R:3 pbc="T T T"
Sr 0.0000 0.0000 0.0000
Mn 1.7130 1.7130 1.7130
Mn 3.4261 3.4261 3.4261
Zn 5.1391 5.1391 5.1391
```



The following is a DFT calculation (GGA-PBEsol) of a relaxed structure of SrMn2Zn.

The value obtained for the total energy is -4.9588 eV per atom.

Structure (extended XYZ):
```
4
Lattice="-2.3928 2.3928 3.3459 2.3928 -2.3928 3.3459 2.3928 2.3928 -3.3459" Properties=species:S:1:pos:R:3 pbc="T T T"
Sr 0.0000 0.0000 0.0000
Mn 2.3928 0.0000 1.6730
Mn 0.0000 2.3928 1.6730
Zn 0.0000 0.0000 3.3459
```



The following is a DFT calculation (GGA-PBEsol) of a relaxed structure of Sr2ZrMn.

The calculation puts the relative energy among the computed polymorphs at 0.247 eV per atom. The value obtained for the total energy is -4.8336 eV per atom.

Structure (extended XYZ):
```
4
Lattice="3.4671 0.0000 0.0000 0.0000 3.4671 0.0000 0.0000 0.0000 9.6651" Properties=species:S:1:pos:R:3 pbc="T T T"
Sr 0.0000 0.0000 2.2000
Sr 0.0000 0.0000 7.4651
Zr 1.7336 1.7336 4.8325
Mn 1.7336 1.7336 0.0000
```



The following is a DFT calculation (GGA-PBEsol) of a relaxed structure of Sr2ZrMn.

The calculation puts the relative energy among the computed polymorphs at 0.284 eV per atom. The value obtained for the total energy is -4.7968 eV per atom.

Structure (extended XYZ):
```
4
Lattice="4.6603 0.0000 0.0000 0.0000 4.6603 0.0000 0.0000 0.0000 5.2134" Properties=species:S:1:pos:R:3 pbc="T T T"
Sr 0.0000 2.3302 0.0000
Sr 2.3302 0.0000 0.0000
Zr 0.0000 0.0000 2.6067
Mn 2.3302 2.3302 2.6067
```



The following is a DFT calculation (GGA-PBEsol) of a relaxed structure of SrZrMn2.

The calculation puts the relative energy among the computed polymorphs at 0.000 eV per atom. The value obtained for the total energy is -7.0536 eV per atom.

Structure (extended XYZ):
```
4
Lattice="3.5249 0.0000 0.0000 0.0000 3.5249 0.0000 0.0000 0.0000 6.7663" Properties=species:S:1:pos:R:3 pbc="T T T"
Sr 0.0000 0.0000 0.0000
Zr 0.0000 0.0000 3.3831
Mn 1.7625 1.7625 2.3842
Mn 1.7625 1.7625 4.3821
```



The following is a DFT calculation (GGA-PBEsol) of a relaxed structure of SrZrMn2.

The calculation puts the relative energy among the computed polymorphs at 0.107 eV per atom. The value obtained for the total energy is -6.9463 eV per atom.

Structure (extended XYZ):
```
4
Lattice="4.4178 -1.5358 0.0000 4.4178 1.5358 0.0000 -0.7894 0.0000 6.5654" Properties=species:S:1:pos:R:3 pbc="T T T"
Sr 0.0000 0.0000 0.0000
Zr 4.0231 0.0000 3.2827
Mn 1.5974 0.0000 4.3192
Mn 6.4487 0.0000 2.2463
```



The following is a DFT calculation (GGA-PBEsol) of a relaxed structure of SrZrMn2.

The calculation puts the relative energy among the computed polymorphs at 0.324 eV per atom. The value obtained for the total energy is -6.7294 eV per atom.

Structure (extended XYZ):
```
4
Lattice="0.0000 3.4188 3.4188 3.4188 0.0000 3.4188 3.4188 3.4188 0.0000" Properties=species:S:1:pos:R:3 pbc="T T T"
Sr 0.0000 0.0000 0.0000
Zr 5.1282 5.1282 5.1282
Mn 1.7094 1.7094 1.7094
Mn 3.4188 3.4188 3.4188
```



The following is a DFT calculation (GGA-PBEsol) of a relaxed structure of Sr2ZrMn.

The calculation puts the relative energy among the computed polymorphs at 0.000 eV per atom. The value obtained for the total energy is -5.0808 eV per atom.

Structure (extended XYZ):
```
4
Lattice="-1.7882 2.9369 5.5634 1.7882 -2.9369 5.5634 1.7882 2.9369 -5.5634" Properties=species:S:1:pos:R:3 pbc="T T T"
Sr 0.0000 0.0000 0.0000
Sr 0.0000 2.9369 2.1679
Zr 1.7882 0.0000 3.3820
Mn 0.0000 0.0000 5.0928
```



The following is a DFT calculation (GGA-PBEsol) of a relaxed structure of Ta3Mn.

The value obtained for the total energy is -11.8993 eV per atom.

Structure (extended XYZ):
```
4
Lattice="-1.5731 2.2376 4.4865 1.5731 -2.2376 4.4865 1.5731 2.2376 -4.4865" Properties=species:S:1:pos:R:3 pbc="T T T"
Ta 0.0000 0.0000 0.0000
Ta 1.5731 0.0000 2.3638
Ta 0.0000 2.2376 2.1227
Mn 0.0000 0.0000 4.4865
```



The following is a DFT calculation (GGA-PBEsol) of a relaxed structure of TaMn4.

The value obtained for the total energy is -10.1504 eV per atom.

Structure (extended XYZ):
```
5
Lattice="-2.8766 2.8766 1.7958 2.8766 -2.8766 1.7958 2.8766 2.8766 -1.7958" Properties=species:S:1:pos:R:3 pbc="T T T"
Ta 0.0000 0.0000 0.0000
Mn 2.3902 1.0750 0.0000
Mn 1.8017 -0.4864 1.7958
Mn 1.0750 3.3631 0.0000
Mn 0.4864 1.8017 1.7958
```



The following is a DFT calculation (GGA-PBEsol) of a relaxed structure of Ta6Mn7.

The value obtained for the total energy is -11.2322 eV per atom.

Structure (extended XYZ):
```
13
Lattice="2.3986 1.3848 8.8980 -2.3986 1.3848 8.8980 0.0000 -2.7696 8.8980" Properties=species:S:1:pos:R:3 pbc="T T T"
Ta 0.0000 0.0000 1.3234
Ta 0.0000 0.0000 4.0467
Ta 0.0000 0.0000 8.9011
Ta 0.0000 0.0000 17.7928
Ta 0.0000 0.0000 22.6472
Ta 0.0000 0.0000 25.3705
Mn -1.2162 -0.7022 11.3750
Mn 0.0000 -1.4044 15.3189
Mn -1.2162 0.7022 15.3189
Mn 0.0000 0.0000 13.3469
Mn 1.2162 -0.7022 11.3750
Mn 0.0000 1.4044 11.3750
Mn 1.2162 0.7022 15.3189
```



The following is a DFT calculation (GGA-PBEsol) of a relaxed structure of Ta5Mn.

The calculation puts the relative energy among the computed polymorphs at 0.026 eV per atom. The value obtained for the total energy is -12.1017 eV per atom.

Structure (extended XYZ):
```
6
Lattice="1.5987 -6.6819 0.0000 1.5987 6.6819 0.0000 0.0000 0.0000 4.6088" Properties=species:S:1:pos:R:3 pbc="T T T"
Ta 0.0000 0.0000 0.0000
Ta 1.5987 4.5969 2.3044
Ta 1.5987 2.2262 0.0000
Ta 1.5987 -2.2262 0.0000
Ta 1.5987 -4.5969 2.3044
Mn 1.5987 0.0000 2.3044
```



The following is a DFT calculation (GGA-PBEsol) of a relaxed structure of Ta5Mn.

The calculation puts the relative energy among the computed polymorphs at 0.015 eV per atom. The value obtained for the total energy is -12.1123 eV per atom.

Structure (extended XYZ):
```
6
Lattice="5.0895 -1.5877 0.0000 5.0895 1.5877 0.0000 -2.0559 0.0000 6.0945" Properties=species:S:1:pos:R:3 pbc="T T T"
Ta 0.0000 0.0000 0.0000
Ta 3.0641 0.0000 1.0964
Ta 2.1304 0.0000 4.0188
Ta 5.9927 0.0000 2.0757
Ta 5.0590 0.0000 4.9981
Mn -1.0279 0.0000 3.0473
```